This record from Alexandria via LeMat-Bulk describes a geometry-optimized Pm3Sm12Y structure. The functional is PBE-GGA.

Unit cell a=5.1350 b=5.1350 c=20.5038 alpha=90.00 beta=90.00 gamma=90.00
With the nearest neighbours (Å) after each atom.
Sites, in units of the cell vectors:
Pm 0.0000 0.0000 0.0000  12 Sm 3.63
Pm 0.0000 0.0000 0.2506  12 Sm 3.63
Pm 0.0000 0.0000 0.7494  12 Sm 3.63
Sm 0.0000 0.5000 0.1252  8 Sm 3.63-3.64, 4 Pm 3.63
Sm 0.0000 0.5000 0.3757  8 Sm 3.62-3.63, 2 Y 3.62, 2 Pm 3.63
Sm 0.0000 0.5000 0.6243  8 Sm 3.62-3.63, 2 Y 3.62, 2 Pm 3.63
Sm 0.0000 0.5000 0.8748  8 Sm 3.63-3.64, 4 Pm 3.63
Sm 0.5000 0.0000 0.1252  8 Sm 3.63-3.64, 4 Pm 3.63
Sm 0.5000 0.0000 0.3757  8 Sm 3.62-3.63, 2 Y 3.62, 2 Pm 3.63
Sm 0.5000 0.0000 0.6243  8 Sm 3.62-3.63, 2 Y 3.62, 2 Pm 3.63
Sm 0.5000 0.0000 0.8748  8 Sm 3.63-3.64, 4 Pm 3.63
Sm 0.5000 0.5000 0.0000  4 Pm 3.63, 8 Sm 3.63
Sm 0.5000 0.5000 0.2508  8 Sm 3.63-3.64, 4 Pm 3.63
Sm 0.5000 0.5000 0.5000  8 Sm 3.62, 4 Y 3.63
Sm 0.5000 0.5000 0.7492  8 Sm 3.63-3.64, 4 Pm 3.63
Y 0.0000 0.0000 0.5000  12 Sm 3.62-3.63

Values from the calculation:
* SG: P4/mmm (123)
* energy relative to the elements: 0.01 eV/atom
* uncorrected energy: -77.1 eV/cell
* total magnetic moment: 0.00 Bohr magnetons per cell
* calculated density: 7.2 g/cm³


This record from Alexandria via LeMat-Bulk describes a geometry-optimized CsTbCuSe2 structure. The functional is PBE-GGA.

Unit cell a=8.4814 b=4.6706 c=8.2827 alpha=90.00 beta=97.84 gamma=90.00
With the nearest neighbours (Å) after each atom.
Sites, in units of the cell vectors:
Cs 0.0000 0.1547 0.2500  6 Se 3.64-3.70
Cs 0.0000 0.8453 0.7500  6 Se 3.64-3.70
Tb 0.5000 0.4948 0.7500  4 Se 2.85, 4 Cu 3.10-3.14
Tb 0.5000 0.5052 0.2500  4 Se 2.85, 4 Cu 3.10-3.14
Cu 0.5000 0.0000 0.0000  2 Se 2.39
Cu 0.5000 0.0000 0.5000  2 Se 2.39
Se 0.2852 0.3341 0.9712  1 Cu 2.39
Se 0.2852 0.6659 0.4712  1 Cu 2.39
Se 0.7148 0.3341 0.5288  1 Cu 2.39
Se 0.7148 0.6659 0.0288  1 Cu 2.39

Values from the calculation:
* SG: P2/c (13)
* uncorrected energy: -43.3 eV/cell
* energy relative to the elements, uncorrected: -1021 meV/atom
* total magnetic moment: 0.00 Bohr magnetons per cell
* calculated density: 5.2 g/cm³